Entry 1:
This record from OQMD describes crystalline Na2H6PdO6 at its relaxed geometry. The functional is GGA-PBE.

Values from the calculation:
- E above lowest polymorph: 0 meV/atom
- Crystal system: trigonal

Cell lengths 5.706, 5.706, 4.423 Å; angles 90.00, 90.00, 120.00 degrees
Sites, in units of the cell vectors:
H 0.334 0.149 0.421
H 0.851 0.185 0.421
H 0.815 0.666 0.421
H 0.185 0.334 0.579
H 0.149 0.815 0.579
H 0.666 0.851 0.579
Na 0.333 0.667 0.050
Na 0.667 0.333 0.950
O 0.304 0.018 0.256
O 0.982 0.286 0.256
O 0.714 0.696 0.256
O 0.286 0.304 0.744
O 0.018 0.714 0.744
O 0.696 0.982 0.744
Pd 0.000 0.000 0.000

Entry 2:
This record from OQMD describes crystalline NaZn2HSe2O7 at its relaxed geometry. The functional is GGA-PBE.

Values from the calculation:
- Crystal system: orthorhombic

Cell lengths 13.254, 6.023, 8.313 Å; angles 90.00, 90.00, 90.00 degrees
Sites, in units of the cell vectors:
H 0.837 0.250 0.035
H 0.337 0.250 0.465
H 0.663 0.750 0.535
H 0.163 0.750 0.965
Na 0.247 0.250 0.125
Na 0.747 0.250 0.375
Na 0.253 0.750 0.625
Na 0.753 0.750 0.875
O 0.408 0.250 0.031
O 0.103 0.750 0.034
O 0.892 0.750 0.040
O 0.747 0.537 0.198
O 0.747 0.963 0.198
O 0.516 0.026 0.245
O 0.516 0.474 0.245
O 0.016 0.026 0.255
O 0.016 0.474 0.255
O 0.247 0.537 0.302
O 0.247 0.963 0.302
O 0.392 0.750 0.460
O 0.603 0.750 0.466
O 0.908 0.250 0.469
O 0.092 0.750 0.531
O 0.397 0.250 0.534
O 0.608 0.250 0.540
O 0.753 0.037 0.698
O 0.753 0.463 0.698
O 0.984 0.526 0.745
O 0.984 0.974 0.745
O 0.484 0.526 0.755
O 0.484 0.974 0.755
O 0.253 0.037 0.802
O 0.253 0.463 0.802
O 0.108 0.250 0.960
O 0.897 0.250 0.966
O 0.592 0.750 0.969
Se 0.526 0.250 0.114
Se 0.832 0.750 0.229
Se 0.332 0.750 0.271
Se 0.026 0.250 0.386
Se 0.974 0.750 0.614
Se 0.668 0.250 0.729
Se 0.168 0.250 0.771
Se 0.474 0.750 0.886
Zn 0.000 0.000 0.000
Zn 0.000 0.500 0.000
Zn 0.615 0.750 0.215
Zn 0.115 0.750 0.285
Zn 0.500 0.000 0.500
Zn 0.500 0.500 0.500
Zn 0.885 0.250 0.715
Zn 0.385 0.250 0.785

Entry 3:
This record from OQMD describes crystalline Na2Zn3H4Se4O14 at its relaxed geometry. The functional is GGA-PBE.

Values from the calculation:
- Crystal system: monoclinic

Cell lengths 8.356, 8.356, 14.554 Å; angles 105.62, 105.62, 46.10 degrees
Sites, in units of the cell vectors:
H 0.783 0.802 0.117
H 0.998 0.550 0.118
H 0.450 0.002 0.382
H 0.198 0.217 0.383
H 0.802 0.783 0.617
H 0.550 0.998 0.618
H 0.002 0.450 0.882
H 0.217 0.198 0.883
Na 0.249 0.540 0.013
Na 0.460 0.751 0.487
Na 0.540 0.249 0.513
Na 0.751 0.460 0.987
O 0.368 0.757 0.003
O 0.061 0.186 0.081
O 0.837 0.650 0.096
O 0.152 0.873 0.148
O 0.276 0.455 0.164
O 0.708 0.048 0.170
O 0.646 0.471 0.178
O 0.529 0.354 0.322
O 0.952 0.292 0.330
O 0.545 0.724 0.336
O 0.127 0.848 0.352
O 0.350 0.163 0.404
O 0.814 0.939 0.419
O 0.243 0.632 0.497
O 0.757 0.368 0.503
O 0.186 0.061 0.581
O 0.650 0.837 0.596
O 0.873 0.152 0.648
O 0.455 0.276 0.664
O 0.048 0.708 0.670
O 0.471 0.646 0.678
O 0.354 0.529 0.822
O 0.292 0.952 0.830
O 0.724 0.545 0.836
O 0.848 0.127 0.852
O 0.163 0.350 0.904
O 0.939 0.814 0.919
O 0.632 0.243 0.997
Se 0.295 0.928 0.110
Se 0.468 0.222 0.225
Se 0.778 0.532 0.275
Se 0.072 0.705 0.390
Se 0.928 0.295 0.610
Se 0.222 0.468 0.725
Se 0.532 0.778 0.775
Se 0.705 0.072 0.890
Zn 0.828 0.148 0.121
Zn 0.338 0.662 0.250
Zn 0.852 0.172 0.379
Zn 0.148 0.828 0.621
Zn 0.662 0.338 0.750
Zn 0.172 0.852 0.879

Entry 4:
This record from OQMD describes crystalline NaZnH3O3 at its relaxed geometry. The functional is GGA-PBE.

Values from the calculation:
- Crystal system: tetragonal

Cell lengths 10.672, 10.672, 5.134 Å; angles 90.00, 90.00, 90.00 degrees
Sites, in units of the cell vectors:
Zn 0.054 0.693 0.982
Zn 0.554 0.807 0.982
Zn 0.307 0.054 0.482
Zn 0.807 0.446 0.482
Zn 0.193 0.554 0.482
Zn 0.693 0.946 0.482
Zn 0.446 0.193 0.982
Zn 0.946 0.307 0.982
H 0.680 0.147 0.231
H 0.180 0.353 0.231
H 0.820 0.647 0.231
H 0.320 0.853 0.231
H 0.523 0.141 0.417
H 0.023 0.359 0.417
H 0.977 0.641 0.417
H 0.477 0.859 0.417
H 0.137 0.193 0.433
H 0.637 0.307 0.433
H 0.363 0.693 0.433
H 0.863 0.807 0.433
H 0.647 0.180 0.731
H 0.147 0.320 0.731
H 0.853 0.680 0.731
H 0.353 0.820 0.731
H 0.641 0.023 0.917
H 0.141 0.477 0.917
H 0.859 0.523 0.917
H 0.359 0.977 0.917
H 0.807 0.137 0.933
H 0.307 0.363 0.933
H 0.693 0.637 0.933
H 0.193 0.863 0.933
Na 0.909 0.119 0.456
Na 0.409 0.381 0.456
Na 0.591 0.619 0.456
Na 0.091 0.881 0.456
Na 0.119 0.091 0.956
Na 0.619 0.409 0.956
Na 0.381 0.591 0.956
Na 0.881 0.909 0.956
O 0.437 0.170 0.371
O 0.937 0.330 0.371
O 0.063 0.670 0.371
O 0.563 0.830 0.371
O 0.686 0.128 0.419
O 0.186 0.372 0.419
O 0.814 0.628 0.419
O 0.314 0.872 0.419
O 0.130 0.101 0.428
O 0.630 0.399 0.428
O 0.370 0.601 0.428
O 0.870 0.899 0.428
O 0.330 0.063 0.871
O 0.830 0.437 0.871
O 0.170 0.563 0.871
O 0.670 0.937 0.871
O 0.628 0.186 0.919
O 0.128 0.314 0.919
O 0.872 0.686 0.919
O 0.372 0.814 0.919
O 0.899 0.130 0.928
O 0.399 0.370 0.928
O 0.601 0.630 0.928
O 0.101 0.870 0.928

Entry 5:
This record from OQMD describes crystalline NaZnH3O3 at its relaxed geometry. The functional is GGA-PBE.

Values from the calculation:
- Crystal system: tetragonal

Cell lengths 10.672, 10.672, 5.134 Å; angles 90.00, 90.00, 90.00 degrees
Sites, in units of the cell vectors:
H 0.680 0.147 0.231
H 0.180 0.353 0.231
H 0.820 0.647 0.231
H 0.320 0.853 0.231
H 0.523 0.141 0.417
H 0.023 0.359 0.417
H 0.977 0.641 0.417
H 0.477 0.859 0.417
H 0.137 0.193 0.433
H 0.637 0.307 0.433
H 0.363 0.693 0.433
H 0.863 0.807 0.433
H 0.647 0.180 0.731
H 0.147 0.320 0.731
H 0.853 0.680 0.731
H 0.353 0.820 0.731
H 0.641 0.023 0.917
H 0.141 0.477 0.917
H 0.859 0.523 0.917
H 0.359 0.977 0.917
H 0.807 0.137 0.933
H 0.307 0.363 0.933
H 0.693 0.637 0.933
H 0.193 0.863 0.933
Na 0.909 0.119 0.456
Na 0.409 0.381 0.456
Na 0.591 0.619 0.456
Na 0.091 0.881 0.456
Na 0.119 0.091 0.956
Na 0.619 0.409 0.956
Na 0.381 0.591 0.956
Na 0.881 0.909 0.956
O 0.437 0.170 0.371
O 0.937 0.330 0.371
O 0.063 0.670 0.371
O 0.563 0.830 0.371
O 0.686 0.128 0.419
O 0.186 0.372 0.419
O 0.814 0.628 0.419
O 0.314 0.872 0.419
O 0.130 0.101 0.428
O 0.630 0.399 0.428
O 0.370 0.601 0.428
O 0.870 0.899 0.428
O 0.330 0.063 0.871
O 0.830 0.437 0.871
O 0.170 0.563 0.871
O 0.670 0.937 0.871
O 0.628 0.186 0.919
O 0.128 0.314 0.919
O 0.872 0.686 0.919
O 0.372 0.814 0.919
O 0.899 0.130 0.928
O 0.399 0.370 0.928
O 0.601 0.630 0.928
O 0.101 0.870 0.928
Zn 0.307 0.054 0.482
Zn 0.807 0.446 0.482
Zn 0.193 0.554 0.482
Zn 0.693 0.946 0.482
Zn 0.446 0.193 0.982
Zn 0.946 0.307 0.982
Zn 0.054 0.693 0.982
Zn 0.554 0.807 0.982

Entry 6:
This record from OQMD describes crystalline NaZnH9O6 at its relaxed geometry. The functional is GGA-PBE.

Values from the calculation:
- Crystal system: triclinic

Cell lengths 3.279, 7.979, 10.581 Å; angles 95.32, 95.68, 93.07 degrees
Sites, in units of the cell vectors:
H 0.563 0.810 0.059
H 0.973 0.140 0.065
H 0.714 0.381 0.070
H 0.176 0.978 0.119
H 0.964 0.951 0.336
H 0.556 0.865 0.372
H 0.048 0.694 0.392
H 0.271 0.468 0.401
H 0.413 0.332 0.494
H 0.587 0.668 0.506
H 0.729 0.532 0.599
H 0.952 0.306 0.608
H 0.444 0.135 0.628
H 0.036 0.049 0.664
H 0.824 0.022 0.881
H 0.286 0.619 0.930
H 0.027 0.860 0.935
H 0.437 0.190 0.941
Na 0.682 0.224 0.279
Na 0.318 0.776 0.721
O 0.275 0.773 0.062
O 0.132 0.100 0.140
O 0.736 0.456 0.151
O 0.312 0.672 0.361
O 0.702 0.976 0.366
O 0.239 0.346 0.414
O 0.761 0.654 0.586
O 0.298 0.024 0.634
O 0.688 0.328 0.639
O 0.264 0.544 0.849
O 0.868 0.900 0.860
O 0.725 0.227 0.938
Zn 0.259 0.591 0.177
Zn 0.741 0.409 0.823

Entry 7:
This record from OQMD describes crystalline Na3H7Os at its relaxed geometry. The functional is GGA-PBE.

Values from the calculation:
- Crystal system: tetragonal

Cell lengths 9.314, 9.314, 5.138 Å; angles 90.00, 90.00, 90.00 degrees
Sites, in units of the cell vectors:
H 0.170 0.170 0.000
H 0.435 0.172 0.000
H 0.172 0.435 0.000
H 0.828 0.565 0.000
H 0.565 0.828 0.000
H 0.830 0.830 0.000
H 0.757 0.243 0.196
H 0.243 0.757 0.196
H 0.398 0.398 0.205
H 0.602 0.602 0.205
H 0.898 0.102 0.295
H 0.102 0.898 0.295
H 0.257 0.257 0.304
H 0.743 0.743 0.304
H 0.672 0.065 0.500
H 0.935 0.328 0.500
H 0.670 0.330 0.500
H 0.330 0.670 0.500
H 0.065 0.672 0.500
H 0.328 0.935 0.500
H 0.257 0.257 0.696
H 0.743 0.743 0.696
H 0.898 0.102 0.705
H 0.102 0.898 0.705
H 0.398 0.398 0.795
H 0.602 0.602 0.795
H 0.757 0.243 0.804
H 0.243 0.757 0.804
Na 0.695 0.034 0.000
Na 0.966 0.305 0.000
Na 0.616 0.384 0.000
Na 0.384 0.616 0.000
Na 0.034 0.695 0.000
Na 0.305 0.966 0.000
Na 0.116 0.116 0.500
Na 0.466 0.195 0.500
Na 0.195 0.466 0.500
Na 0.805 0.534 0.500
Na 0.534 0.805 0.500
Na 0.884 0.884 0.500
Os 0.298 0.298 0.000
Os 0.702 0.702 0.000
Os 0.798 0.202 0.500
Os 0.202 0.798 0.500

Entry 8:
This record from OQMD describes crystalline Na3H6Os at its relaxed geometry. The functional is GGA-PBE.

Values from the calculation:
- Crystal system: cubic

Cell lengths 5.318, 5.318, 5.318 Å; angles 60.00, 60.00, 60.00 degrees
Sites, in units of the cell vectors:
H 0.774 0.226 0.226
H 0.226 0.774 0.226
H 0.774 0.774 0.226
H 0.226 0.226 0.774
H 0.774 0.226 0.774
H 0.226 0.774 0.774
Na 0.250 0.250 0.250
Na 0.500 0.500 0.500
Na 0.750 0.750 0.750
Os 0.000 0.000 0.000

Entry 9:
This record from OQMD describes crystalline Na2H6OsPd at its relaxed geometry. The functional is GGA-PBE.

Values from the calculation:
- Crystal system: monoclinic

Cell lengths 9.412, 8.870, 4.909 Å; angles 90.00, 90.29, 90.00 degrees
Sites, in units of the cell vectors:
H 0.377 0.584 0.017
H 0.122 0.585 0.022
H 0.627 0.077 0.023
H 0.873 0.070 0.023
H 0.146 0.371 0.236
H 0.365 0.377 0.248
H 0.635 0.877 0.252
H 0.854 0.871 0.264
H 0.127 0.570 0.477
H 0.373 0.577 0.477
H 0.878 0.085 0.478
H 0.623 0.084 0.483
H 0.377 0.916 0.517
H 0.122 0.915 0.522
H 0.627 0.423 0.523
H 0.873 0.430 0.523
H 0.146 0.129 0.736
H 0.365 0.123 0.748
H 0.635 0.623 0.752
H 0.854 0.629 0.764
H 0.127 0.930 0.977
H 0.373 0.923 0.977
H 0.878 0.415 0.978
H 0.623 0.416 0.983
Na 0.077 0.130 0.246
Na 0.420 0.128 0.247
Na 0.580 0.628 0.253
Na 0.923 0.630 0.254
Na 0.077 0.370 0.746
Na 0.420 0.372 0.747
Na 0.580 0.872 0.753
Na 0.923 0.870 0.754
Os 0.252 0.521 0.240
Os 0.748 0.021 0.260
Os 0.252 0.979 0.740
Os 0.748 0.479 0.760
Pd 0.244 0.836 0.243
Pd 0.756 0.336 0.257
Pd 0.244 0.664 0.743
Pd 0.756 0.164 0.757

Number 1: E -73.7 eV/cell. Number 2: E -257.0 eV/cell. Number 3: E -268.6 eV/cell. Number 4: E -301.3 eV/cell. Number 5: E -301.3 eV/cell. Number 6: E -163.6 eV/cell. Number 7: E -167.1 eV/cell. Number 8: E -36.5 eV/cell. Number 9: E -160.0 eV/cell.